1.
A geometry-optimized Hf2V2Pb structure. Source: Alexandria via LeMat-Bulk, functional PBE.

Cell: 7.358 7.358 3.576 Å, 90.00 90.00 90.00°
Fractional coordinates of all 10 atoms:
Hf (0.190, 0.310, 0.000)
Hf (0.310, 0.810, 0.000)
Hf (0.690, 0.190, 0.000)
Hf (0.810, 0.690, 0.000)
V (0.100, 0.600, 0.500)
V (0.400, 0.100, 0.500)
V (0.600, 0.900, 0.500)
V (0.900, 0.400, 0.500)
Pb (0.000, 0.000, 0.500)
Pb (0.500, 0.500, 0.500)

Results
raw total energy	-8.239	eV/atom
density	11.43	Mg/m³
energy relative to the elements	0.131	eV per atom
M_tot	0.00	μB per formula unit
V	97	Å³/f.u.
SG	P4/mbm (127)
N(E_F)	0.678	states/eV/atom


2.
A geometry-optimized MgTl2Tc structure. Source: Alexandria via LeMat-Bulk, functional PBE.

Cell: 7.844 7.844 6.044 Å, 90.00 90.00 90.00°
Fractional coordinates of all 16 atoms:
Mg (0.000, 0.000, 0.000)
Mg (0.000, 0.500, 0.250)
Mg (0.500, 0.000, 0.750)
Mg (0.500, 0.500, 0.500)
Tl (0.234, 0.250, 0.625)
Tl (0.250, 0.734, 0.875)
Tl (0.250, 0.766, 0.375)
Tl (0.266, 0.250, 0.125)
Tl (0.734, 0.750, 0.125)
Tl (0.750, 0.234, 0.375)
Tl (0.750, 0.266, 0.875)
Tl (0.766, 0.750, 0.625)
Tc (0.000, 0.000, 0.500)
Tc (0.000, 0.500, 0.750)
Tc (0.500, 0.000, 0.250)
Tc (0.500, 0.500, 0.000)

Results
raw total energy	-3.451	eV/atom
density	9.49	Mg/m³
energy relative to the elements	0.722	eV per atom
M_tot	1.66	μB per formula unit
V	93	Å³/f.u.
ΔE to the lowest computed polymorph	327	meV/atom
SG	I-42d (122)
N(E_F)	0.845	states/eV/atom


3.
A geometry-optimized KSr2Re structure. Source: Alexandria via LeMat-Bulk, functional PBE.

Cell: 8.683 8.683 12.253 Å, 90.00 90.00 90.00°
Fractional coordinates of all 16 atoms:
K (0.000, 0.000, 0.000)
K (0.000, 0.500, 0.250)
K (0.500, 0.000, 0.750)
K (0.500, 0.500, 0.500)
Sr (0.002, 0.250, 0.625)
Sr (0.250, 0.502, 0.875)
Sr (0.250, 0.998, 0.375)
Sr (0.498, 0.250, 0.125)
Sr (0.502, 0.750, 0.125)
Sr (0.750, 0.002, 0.375)
Sr (0.750, 0.498, 0.875)
Sr (0.998, 0.750, 0.625)
Re (0.000, 0.000, 0.500)
Re (0.000, 0.500, 0.750)
Re (0.500, 0.000, 0.250)
Re (0.500, 0.500, 0.000)

Results
raw total energy	-2.862	eV/atom
density	2.88	Mg/m³
energy relative to the elements	1.365	eV per atom
M_tot	0.00	μB per formula unit
V	231	Å³/f.u.
ΔE to the lowest computed polymorph	545	meV/atom
SG	I-42d (122)
N(E_F)	1.425	states/eV/atom


4.
A geometry-optimized Na3Sn4Br12 structure. Source: Alexandria via LeMat-Bulk, functional PBE.

Cell: 9.602 9.602 9.602 Å, 109.47 109.47 109.47°
Fractional coordinates of all 19 atoms:
Na (0.000, 0.500, 0.500)
Na (0.500, 0.000, 0.500)
Na (0.500, 0.500, 0.000)
Sn (0.000, 0.000, 0.500)
Sn (0.000, 0.500, 0.000)
Sn (0.500, 0.000, 0.000)
Sn (0.500, 0.500, 0.500)
Br (0.121, 0.811, 0.310)
Br (0.189, 0.310, 0.498)
Br (0.189, 0.690, 0.879)
Br (0.310, 0.121, 0.811)
Br (0.310, 0.498, 0.189)
Br (0.498, 0.189, 0.310)
Br (0.502, 0.811, 0.690)
Br (0.690, 0.502, 0.811)
Br (0.690, 0.879, 0.189)
Br (0.811, 0.310, 0.121)
Br (0.811, 0.690, 0.502)
Br (0.879, 0.189, 0.690)

Results
raw total energy	-3.068	eV/atom
density	3.66	Mg/m³
M_tot	0.00	μB per formula unit
V	682	Å³/f.u.
ΔE_f (raw)	-0.961	eV per atom
SG	Im-3 (204)
N(E_F)	0.331	states/eV/atom


5.
A geometry-optimized SmDy2Ga9 structure. Source: Alexandria via LeMat-Bulk, functional PBE.

Cell: 4.295 4.295 12.882 Å, 90.00 90.00 90.00°
Fractional coordinates of all 12 atoms:
Sm (0.000, 0.000, 0.000)
Dy (0.000, 0.000, 0.335)
Dy (0.000, 0.000, 0.665)
Ga (0.000, 0.500, 0.170)
Ga (0.000, 0.500, 0.500)
Ga (0.000, 0.500, 0.830)
Ga (0.500, 0.000, 0.170)
Ga (0.500, 0.000, 0.500)
Ga (0.500, 0.000, 0.830)
Ga (0.500, 0.500, 0.000)
Ga (0.500, 0.500, 0.334)
Ga (0.500, 0.500, 0.666)

Results
raw total energy	-3.966	eV/atom
density	7.71	Mg/m³
energy relative to the elements	-0.535	eV per atom
M_tot	0.00	μB per formula unit
V	238	Å³/f.u.
SG	P4/mmm (123)
N(E_F)	0.397	states/eV/atom


6.
A geometry-optimized ZnOsPd2Rh structure. Source: Alexandria via LeMat-Bulk, functional PBE.

Cell: 4.751 4.751 4.541 Å, 90.00 90.00 90.00°
Fractional coordinates of all 5 atoms:
Zn (0.000, 0.000, 0.000)
Os (0.500, 0.500, 0.000)
Pd (0.000, 0.500, 0.500)
Pd (0.500, 0.000, 0.500)
Rh (0.000, 0.000, 0.500)

Results
raw total energy	-4.362	eV/atom
density	9.26	Mg/m³
energy relative to the elements	1.686	eV per atom
M_tot	3.90	μB per formula unit
V	103	Å³/f.u.
SG	P4/mmm (123)
N(E_F)	1.374	states/eV/atom


7.
A geometry-optimized La4PbCl4 structure. Source: Alexandria via LeMat-Bulk, functional PBE.

Cell: 7.369 7.369 7.369 Å, 99.13 99.13 133.05°
Fractional coordinates of all 9 atoms:
La (0.099, 0.684, 0.782)
La (0.316, 0.099, 0.415)
La (0.684, 0.901, 0.585)
La (0.901, 0.316, 0.218)
Pb (0.000, 0.000, 0.000)
Cl (0.208, 0.389, 0.597)
Cl (0.389, 0.792, 0.181)
Cl (0.611, 0.208, 0.819)
Cl (0.792, 0.611, 0.403)

Results
raw total energy	-4.841	eV/atom
density	5.60	Mg/m³
M_tot	0.01	μB per formula unit
V	268	Å³/f.u.
ΔE_f (raw)	-1.419	eV per atom
SG	I4/m (87)
N(E_F)	0.750	states/eV/atom


8.
A geometry-optimized La2GeHRh structure. Source: Alexandria via LeMat-Bulk, functional PBE.

Cell: 6.230 4.463 8.160 Å, 90.00 104.93 90.00°
Fractional coordinates of all 10 atoms:
La (0.234, 0.250, 0.416)
La (0.249, 0.250, 0.967)
La (0.751, 0.750, 0.033)
La (0.766, 0.750, 0.584)
Ge (0.309, 0.750, 0.701)
Ge (0.691, 0.250, 0.299)
H (0.166, 0.750, 0.159)
H (0.834, 0.250, 0.841)
Rh (0.456, 0.750, 0.235)
Rh (0.544, 0.250, 0.765)

Results
raw total energy	-5.808	eV/atom
density	6.88	Mg/m³
M_tot	0.00	μB per formula unit
V	110	Å³/f.u.
ΔE to the lowest computed polymorph	0	meV/atom
SG	P2_1/m (11)
N(E_F)	0.200	states/eV/atom


9.
A geometry-optimized AlVTe2 structure. Source: Alexandria via LeMat-Bulk, functional PBE.

Cell: 6.354 6.354 12.198 Å, 90.00 90.00 90.00°
Fractional coordinates of all 16 atoms:
Al (0.000, 0.000, 0.000)
Al (0.000, 0.500, 0.250)
Al (0.500, 0.000, 0.750)
Al (0.500, 0.500, 0.500)
V (0.000, 0.000, 0.500)
V (0.000, 0.500, 0.750)
V (0.500, 0.000, 0.250)
V (0.500, 0.500, 0.000)
Te (0.243, 0.250, 0.125)
Te (0.250, 0.743, 0.375)
Te (0.250, 0.757, 0.875)
Te (0.257, 0.250, 0.625)
Te (0.743, 0.750, 0.625)
Te (0.750, 0.243, 0.875)
Te (0.750, 0.257, 0.375)
Te (0.757, 0.750, 0.125)

Results
raw total energy	-4.772	eV/atom
density	4.49	Mg/m³
M_tot	3.89	μB per formula unit
V	123	Å³/f.u.
ΔE_f (raw)	0.014	eV per atom
SG	I-42d (122)
N(E_F)	0.759	states/eV/atom


10.
A geometry-optimized Sm3Y2Ho6 structure. Source: Alexandria via LeMat-Bulk, functional PBE.

Cell: 19.414 19.414 19.414 Å, 15.97 15.97 15.97°
Fractional coordinates of all 11 atoms:
Sm (0.000, 0.000, 0.000)
Sm (0.054, 0.054, 0.054)
Sm (0.946, 0.946, 0.946)
Y (0.232, 0.232, 0.232)
Y (0.768, 0.768, 0.768)
Ho (0.111, 0.111, 0.111)
Ho (0.416, 0.416, 0.416)
Ho (0.471, 0.471, 0.471)
Ho (0.529, 0.529, 0.529)
Ho (0.584, 0.584, 0.584)
Ho (0.889, 0.889, 0.889)

Results
raw total energy	-4.161	eV/atom
density	5.57	Mg/m³
energy relative to the elements	0.798	eV per atom
M_tot	1.29	μB per formula unit
V	483	Å³/f.u.
ΔE to the lowest computed polymorph	517	meV/atom
SG	R-3m (166)
N(E_F)	2.145	states/eV/atom


11.
A geometry-optimized DyYAgGe structure. Source: Alexandria via LeMat-Bulk, functional PBE.

Cell: 7.192 7.192 7.192 Å, 90.00 90.00 90.00°
Fractional coordinates of all 16 atoms:
Dy (0.000, 0.000, 0.000)
Dy (0.000, 0.500, 0.500)
Dy (0.500, 0.000, 0.500)
Dy (0.500, 0.500, 0.000)
Y (0.000, 0.000, 0.500)
Y (0.000, 0.500, 0.000)
Y (0.500, 0.000, 0.000)
Y (0.500, 0.500, 0.500)
Ag (0.250, 0.250, 0.750)
Ag (0.250, 0.750, 0.250)
Ag (0.750, 0.250, 0.250)
Ag (0.750, 0.750, 0.750)
Ge (0.250, 0.250, 0.250)
Ge (0.250, 0.750, 0.750)
Ge (0.750, 0.250, 0.750)
Ge (0.750, 0.750, 0.250)

Results
raw total energy	-5.172	eV/atom
density	7.71	Mg/m³
energy relative to the elements	-0.538	eV per atom
M_tot	0.00	μB per formula unit
V	93	Å³/f.u.
SG	F-43m (216)
N(E_F)	0.867	states/eV/atom


12.
A geometry-optimized Y3MgCd2 structure. Source: Alexandria via LeMat-Bulk, functional PBE.

Cell: 5.303 16.025 3.768 Å, 90.00 90.00 90.00°
Fractional coordinates of all 12 atoms:
Y (0.000, 0.000, 0.000)
Y (0.000, 0.331, 0.000)
Y (0.000, 0.669, 0.000)
Y (0.500, 0.169, 0.000)
Y (0.500, 0.500, 0.000)
Y (0.500, 0.831, 0.000)
Mg (0.000, 0.500, 0.500)
Mg (0.500, 0.000, 0.500)
Cd (0.000, 0.160, 0.500)
Cd (0.000, 0.840, 0.500)
Cd (0.500, 0.340, 0.500)
Cd (0.500, 0.660, 0.500)

Results
raw total energy	-4.082	eV/atom
density	5.35	Mg/m³
energy relative to the elements	-0.279	eV per atom
M_tot	0.00	μB per formula unit
V	160	Å³/f.u.
ΔE to the lowest computed polymorph	0	meV/atom
SG	Cmmm (65)
N(E_F)	1.116	states/eV/atom


13.
A geometry-optimized Cs4Dy3ZrSe8 structure. Source: Alexandria via LeMat-Bulk, functional PBE.

Cell: 8.396 8.396 9.683 Å, 115.74 115.74 59.98°
Fractional coordinates of all 16 atoms:
Cs (0.000, 0.000, 0.000)
Cs (0.000, 0.500, 0.000)
Cs (0.500, 0.000, 0.000)
Cs (0.500, 0.500, 0.000)
Dy (0.000, 0.000, 0.500)
Dy (0.000, 0.500, 0.500)
Dy (0.500, 0.000, 0.500)
Zr (0.500, 0.500, 0.500)
Se (0.229, 0.229, 0.687)
Se (0.239, 0.723, 0.684)
Se (0.277, 0.761, 0.316)
Se (0.278, 0.278, 0.316)
Se (0.722, 0.722, 0.684)
Se (0.723, 0.239, 0.684)
Se (0.761, 0.277, 0.316)
Se (0.771, 0.771, 0.313)

Results
raw total energy	-4.952	eV/atom
density	5.66	Mg/m³
M_tot	0.58	μB per formula unit
V	511	Å³/f.u.
ΔE_f (raw)	-1.599	eV per atom
SG	C2/m (12)
N(E_F)	0.305	states/eV/atom


14.
A geometry-optimized ErZr2 structure. Source: Alexandria via LeMat-Bulk, functional PBE.

Cell: 5.739 3.323 8.217 Å, 90.00 103.45 90.00°
Fractional coordinates of all 6 atoms:
Er (0.000, 0.000, 0.000)
Er (0.500, 0.500, 0.000)
Zr (0.221, 0.000, 0.655)
Zr (0.279, 0.500, 0.345)
Zr (0.721, 0.500, 0.655)
Zr (0.779, 0.000, 0.345)

Results
raw total energy	-7.143	eV/atom
density	7.62	Mg/m³
energy relative to the elements	0.077	eV per atom
M_tot	0.00	μB per formula unit
V	76	Å³/f.u.
SG	C2/m (12)
N(E_F)	1.512	states/eV/atom


15.
A geometry-optimized NdNiPtPb structure. Source: Alexandria via LeMat-Bulk, functional PBE.

Cell: 6.929 6.929 6.929 Å, 90.00 90.00 90.00°
Fractional coordinates of all 16 atoms:
Nd (0.000, 0.000, 0.000)
Nd (0.000, 0.500, 0.500)
Nd (0.500, 0.000, 0.500)
Nd (0.500, 0.500, 0.000)
Ni (0.250, 0.250, 0.750)
Ni (0.250, 0.750, 0.250)
Ni (0.750, 0.250, 0.250)
Ni (0.750, 0.750, 0.750)
Pt (0.250, 0.250, 0.250)
Pt (0.250, 0.750, 0.750)
Pt (0.750, 0.250, 0.750)
Pt (0.750, 0.750, 0.250)
Pb (0.000, 0.000, 0.500)
Pb (0.000, 0.500, 0.000)
Pb (0.500, 0.000, 0.000)
Pb (0.500, 0.500, 0.500)

Results
raw total energy	-5.483	eV/atom
density	12.08	Mg/m³
energy relative to the elements	-0.408	eV per atom
M_tot	0.00	μB per formula unit
V	83	Å³/f.u.
SG	F-43m (216)
N(E_F)	0.580	states/eV/atom


16.
A geometry-optimized ScAlBr3 structure. Source: Alexandria via LeMat-Bulk, functional PBE.

Cell: 5.295 5.295 5.295 Å, 90.00 90.00 90.00°
Fractional coordinates of all 5 atoms:
Sc (0.000, 0.000, 0.000)
Al (0.500, 0.500, 0.500)
Br (0.000, 0.500, 0.500)
Br (0.500, 0.000, 0.500)
Br (0.500, 0.500, 0.000)

Results
raw total energy	-3.279	eV/atom
density	3.49	Mg/m³
M_tot	1.62	μB per formula unit
V	148	Å³/f.u.
ΔE_f (raw)	-0.261	eV per atom
ΔE to the lowest computed polymorph	548	meV/atom
SG	Pm-3m (221)
N(E_F)	1.371	states/eV/atom


17.
A geometry-optimized PmZrIr2 structure. Source: Alexandria via LeMat-Bulk, functional PBE.

Cell: 6.823 6.823 6.823 Å, 90.00 90.00 90.00°
Fractional coordinates of all 16 atoms:
Pm (0.000, 0.000, 0.000)
Pm (0.000, 0.500, 0.500)
Pm (0.500, 0.000, 0.500)
Pm (0.500, 0.500, 0.000)
Zr (0.000, 0.000, 0.500)
Zr (0.000, 0.500, 0.000)
Zr (0.500, 0.000, 0.000)
Zr (0.500, 0.500, 0.500)
Ir (0.250, 0.250, 0.250)
Ir (0.250, 0.250, 0.750)
Ir (0.250, 0.750, 0.250)
Ir (0.250, 0.750, 0.750)
Ir (0.750, 0.250, 0.250)
Ir (0.750, 0.250, 0.750)
Ir (0.750, 0.750, 0.250)
Ir (0.750, 0.750, 0.750)

Results
raw total energy	-8.364	eV/atom
density	12.98	Mg/m³
energy relative to the elements	-0.609	eV per atom
M_tot	0.00	μB per formula unit
V	79	Å³/f.u.
ΔE to the lowest computed polymorph	104	meV/atom
SG	Fm-3m (225)
N(E_F)	0.735	states/eV/atom


18.
A geometry-optimized Sc4Pd2Rh structure. Source: Alexandria via LeMat-Bulk, functional PBE.

Cell: 6.543 9.228 4.569 Å, 90.00 90.00 90.00°
Fractional coordinates of all 14 atoms:
Sc (0.247, 0.000, 0.000)
Sc (0.250, 0.250, 0.500)
Sc (0.250, 0.750, 0.500)
Sc (0.253, 0.500, 0.000)
Sc (0.747, 0.500, 0.000)
Sc (0.750, 0.250, 0.500)
Sc (0.750, 0.750, 0.500)
Sc (0.753, 0.000, 0.000)
Pd (0.000, 0.256, 0.000)
Pd (0.000, 0.744, 0.000)
Pd (0.500, 0.244, 0.000)
Pd (0.500, 0.756, 0.000)
Rh (0.000, 0.500, 0.500)
Rh (0.500, 0.000, 0.500)

Results
raw total energy	-6.920	eV/atom
density	5.97	Mg/m³
energy relative to the elements	-0.769	eV per atom
M_tot	0.00	μB per formula unit
V	138	Å³/f.u.
SG	Cmmm (65)
N(E_F)	0.680	states/eV/atom


19.
A geometry-optimized NdY2Sc structure. Source: Alexandria via LeMat-Bulk, functional PBE.

Cell: 4.952 4.952 5.038 Å, 90.00 90.00 90.00°
Fractional coordinates of all 4 atoms:
Nd (0.000, 0.000, 0.000)
Y (0.000, 0.500, 0.500)
Y (0.500, 0.000, 0.500)
Sc (0.500, 0.500, 0.000)

Results
raw total energy	-5.960	eV/atom
density	4.93	Mg/m³
energy relative to the elements	0.047	eV per atom
M_tot	0.00	μB per formula unit
V	124	Å³/f.u.
ΔE to the lowest computed polymorph	18	meV/atom
SG	P4/mmm (123)
N(E_F)	1.660	states/eV/atom


20.
A geometry-optimized NdErN structure. Source: Alexandria via LeMat-Bulk, functional PBE.

Cell: 3.528 3.528 6.238 Å, 90.00 90.00 120.00°
Fractional coordinates of all 3 atoms:
Nd (0.000, 0.000, 0.000)
Er (0.333, 0.667, 0.438)
N (0.667, 0.333, 0.254)

Results
raw total energy	-6.845	eV/atom
density	8.04	Mg/m³
M_tot	0.58	μB per formula unit
V	67	Å³/f.u.
ΔE_f (raw)	-0.959	eV per atom
ΔE to the lowest computed polymorph	0	meV/atom
SG	P3m1 (156)
N(E_F)	0.948	states/eV/atom